# 1
Compound: BaCrSi2
Source: Alexandria
Functional: GGA-PBEsol
Structure: relaxed

```
BaCrSi2
1.0
0.000 3.485 3.485
3.485 0.000 3.485
3.485 3.485 0.000
Ba Cr Si
1 1 2
direct
0.000 0.000 0.000 Ba
0.750 0.750 0.750 Cr
0.250 0.250 0.250 Si
0.500 0.500 0.500 Si
```

- theoretical density (g/cm3) = 4.8
- uncorrected energy (eV per atom) = -5.3036
- offset from the most stable computed form (meV per atom) = 764

# 2
Compound: BaSbTe2Rh
Source: Alexandria
Functional: GGA-PBEsol
Structure: relaxed

```
BaSbTe2Rh
1.0
6.179 0.000 0.000
0.000 6.179 0.000
0.000 0.000 6.061
Ba Sb Te Rh
1 1 2 1
direct
0.000 0.000 0.000 Ba
0.000 0.000 0.500 Sb
0.000 0.500 0.000 Te
0.500 0.000 0.000 Te
0.500 0.500 0.500 Rh
```

- theoretical density (g/cm3) = 4.4
- uncorrected energy (eV per atom) = -2.8731

# 3
Compound: MnI3N
Source: Alexandria
Functional: GGA-PBEsol
Structure: relaxed

```
MnI3N
1.0
4.955 0.000 0.000
0.000 4.955 0.000
0.000 0.000 4.955
Mn I N
1 3 1
direct
0.000 0.000 0.000 Mn
0.000 0.500 0.500 I
0.500 0.000 0.500 I
0.500 0.500 0.000 I
0.500 0.500 0.500 N
```

- theoretical density (g/cm3) = 6.1
- uncorrected energy (eV per atom) = -3.7294
- offset from the most stable computed form (meV per atom) = 7

| no. | uncorrected formation energy (meV/atom) | DOS at the Fermi energy (states/eV per cell) |
| --- | --- | --- |
| 1 | 667 | 2.406 |
| 2 | 1506 | 12.119 |
| 3 | 988 | 1.342 |